No. 1
# Li8GeS6 (GGA-PBE, optimized geometry)
data_Li8GeS6
_chemical_formula_sum 'Li16 Ge2 S12'
_space_group_name_H-M_alt 'P 1'
_space_group_IT_number 1
_space_group_name_Hall 'P 1'
_cell_length_a 7.307
_cell_length_b 7.088
_cell_length_c 10.317
_cell_angle_alpha 90.00
_cell_angle_beta 90.00
_cell_angle_gamma 90.00
loop_
_atom_site_label
_atom_site_type_symbol
_atom_site_fract_x
_atom_site_fract_y
_atom_site_fract_z
Li1 Li 0.364 0.000 0.955
Li2 Li 0.636 0.500 0.455
Li3 Li 0.922 0.794 0.165
Li4 Li 0.078 0.706 0.665
Li5 Li 0.078 0.294 0.665
Li6 Li 0.922 0.206 0.165
Li7 Li 0.441 0.722 0.681
Li8 Li 0.559 0.778 0.181
Li9 Li 0.559 0.222 0.181
Li10 Li 0.441 0.278 0.681
Li11 Li 0.789 0.792 0.845
Li12 Li 0.211 0.708 0.345
Li13 Li 0.211 0.292 0.345
Li14 Li 0.789 0.208 0.845
Li15 Li 0.261 0.000 0.512
Li16 Li 0.739 0.500 0.012
Ge1 Ge 0.754 0.000 0.489
Ge2 Ge 0.246 0.500 0.989
S1 S 0.721 0.000 0.023
S2 S 0.279 0.500 0.523
S3 S 0.247 0.000 0.731
S4 S 0.753 0.500 0.231
S5 S 0.006 0.000 0.361
S6 S 0.994 0.500 0.861
S7 S 0.503 0.000 0.363
S8 S 0.497 0.500 0.863
S9 S 0.243 0.757 0.110
S10 S 0.757 0.743 0.610
S11 S 0.757 0.257 0.610
S12 S 0.243 0.243 0.110
# ρ (g cm⁻³): 1.99
# Raw total energy (eV per atom): -4.089

***

No. 2
# NdBiPdPt (GGA-PBE, optimized geometry)
data_NdBiPdPt
_chemical_formula_sum 'Nd1 Bi1 Pd1 Pt1'
_space_group_name_H-M_alt 'P 1'
_space_group_IT_number 1
_space_group_name_Hall 'P 1'
_cell_length_a 5.008
_cell_length_b 5.008
_cell_length_c 5.008
_cell_angle_alpha 60.00
_cell_angle_beta 60.00
_cell_angle_gamma 60.00
loop_
_atom_site_label
_atom_site_type_symbol
_atom_site_fract_x
_atom_site_fract_y
_atom_site_fract_z
Pd1 Pd 0.250 0.250 0.250
Nd1 Nd 0.000 0.000 0.000
Bi1 Bi 0.500 0.500 0.500
Pt1 Pt 0.750 0.750 0.750
# ρ (g cm⁻³): 12.24
# Formation enthalpy at 0 K (eV/f.u.): -2.809
# Raw total energy (eV per atom): -5.673